# La2PmPrNd4

La2PmPrNd4 after structural relaxation (PBE, the Alexandria database).

```
8
Lattice="6.392 0.000 0.000 0.000 3.705 0.000 -2.195 0.000 12.101" Properties=species:S:1:pos:R:3 pbc="T T T"
La 0.000 0.000 0.000
La -1.098 1.853 6.050
Pm 2.098 0.000 6.050
Pr 3.196 1.853 0.000
Nd -0.048 0.000 9.072
Nd 1.050 1.853 3.043
Nd 3.147 1.853 9.058
Nd 4.244 0.000 3.029
```

Values from the calculation:
Electronic total energy   -38.33 eV/f.u.
Energy relative to the elements   0.016 eV per atom

=====

# Cd2MoC

Cd2MoC after structural relaxation (PBE, the Alexandria database).

```
8
Lattice="-4.121 4.121 2.105 4.121 -4.121 2.105 4.121 4.121 -2.105" Properties=species:S:1:pos:R:3 pbc="T T T"
Cd 6.181 1.163 -0.526
Cd 1.163 2.060 0.526
Cd -2.060 2.958 1.579
Cd 2.958 2.060 2.631
Mo 4.121 0.000 1.052
Mo 0.000 0.000 2.105
C 0.000 0.000 0.000
C 0.000 4.121 1.052
```

Values from the calculation:
Electronic total energy   -17.70 eV/f.u.
Energy relative to the elements   1.047 eV per atom

=====

# Te2MoOsI

Te2MoOsI after structural relaxation (PBE, the Alexandria database).

```
5
Lattice="5.242 0.000 0.000 0.000 5.242 0.000 0.000 0.000 5.538" Properties=species:S:1:pos:R:3 pbc="T T T"
Te 0.000 2.621 0.000
Te 2.621 0.000 0.000
Mo 0.000 0.000 0.000
Os 2.621 2.621 2.769
I 0.000 0.000 2.769
```

Values from the calculation:
Energy relative to the elements, uncorrected   154 kJ/mol of atoms
Electronic total energy   -21.89 eV/f.u.
E above lowest polymorph   1.25 eV per formula unit

=====

# Hf3MnW

Hf3MnW after structural relaxation (PBE, the Alexandria database).

```
5
Lattice="4.682 0.000 0.000 0.000 4.682 0.000 0.000 0.000 4.682" Properties=species:S:1:pos:R:3 pbc="T T T"
Hf 0.000 0.000 2.341
Hf 0.000 2.341 0.000
Hf 2.341 0.000 0.000
Mn 0.000 0.000 0.000
W 2.341 2.341 2.341
```

Values from the calculation:
Electronic total energy   -47.90 eV/f.u.
Energy relative to the elements   0.817 eV per atom
E above lowest polymorph   0.00 eV per formula unit